[1]
The following is a PBE-GGA calculation of crystalline BeIn2Re at its relaxed geometry, from Alexandria.

Properties
Theoretical density, g/cm3: 10.17
Electronic total energy, Ha/atom: -0.173
DFT formation energy, eV/f.u.: 2.8

Cell lengths 2.858, 4.337, 5.594 Å; angles 90.00, 90.20, 90.00 degrees
Space group P2/m (No. 10)
Unique sites:
Be  0.000  0.000  0.000 [1 per cell]
In  0.004  0.500  0.750 [2 per cell]
Re  0.500  0.000  0.500 [1 per cell]



[2]
The following is a PBE-GGA calculation of crystalline BeIn2Re at its relaxed geometry, from Alexandria.

Properties
Theoretical density, g/cm3: 10.28
Electronic total energy, Ha/atom: -0.174
DFT formation energy, eV/f.u.: 2.7

Cell lengths 5.655, 8.001, 3.035 Å; angles 90.00, 90.00, 90.00 degrees
Space group Cmmm (No. 65)
Unique sites:
Be  0.000  0.000  0.000 [2 per cell]
In  0.250  0.250  0.500 [4 per cell]
Re  0.000  0.500  0.000 [2 per cell]



[3]
The following is a PBE-GGA calculation of crystalline Be2InRe at its relaxed geometry, from Alexandria.

Properties
Theoretical density, g/cm3: 9.62
Electronic total energy, Ha/atom: -0.194
DFT formation energy, eV/f.u.: 1.6

Cell lengths 2.976, 2.976, 6.222 Å; angles 90.00, 90.00, 90.00 degrees
Space group P4mm (No. 99)
Unique sites:
Be  0.000  0.000  0.000 [1 per cell]
Be  0.500  0.500  0.178 [1 per cell]
In  0.000  0.000  0.484 [1 per cell]
Re  0.500  0.500  0.815 [1 per cell]



[4]
The following is a PBE-GGA calculation of crystalline BeIn2ReSn at its relaxed geometry, from Alexandria.

Properties
Theoretical density, g/cm3: 6.31
Electronic total energy, Ha/atom: -0.156
DFT formation energy, eV/f.u.: 4.5

Cell lengths 5.265, 5.265, 5.159 Å; angles 90.00, 90.00, 90.00 degrees
Space group P4/mmm (No. 123)
Unique sites:
Be  0.000  0.000  0.000 [1 per cell]
In  0.000  0.500  0.500 [2 per cell]
Re  0.500  0.500  0.500 [1 per cell]
Sn  0.500  0.500  0.000 [1 per cell]



[5]
The following is a PBE-GGA calculation of crystalline BeTlIn2Re at its relaxed geometry, from Alexandria.

Properties
Theoretical density, g/cm3: 10.14
Electronic total energy, Ha/atom: -0.146
DFT formation energy, eV/f.u.: 4.2

Cell lengths 4.851, 4.851, 4.377 Å; angles 90.00, 90.00, 90.00 degrees
Space group P4/mmm (No. 123)
Unique sites:
Be  0.000  0.000  0.000 [1 per cell]
Tl  0.500  0.500  0.500 [1 per cell]
In  0.000  0.500  0.000 [2 per cell]
Re  0.000  0.000  0.500 [1 per cell]



[6]
The following is a PBE-GGA calculation of crystalline BeTl2InRe at its relaxed geometry, from Alexandria.

Properties
Theoretical density, g/cm3: 11.09
Electronic total energy, Ha/atom: -0.138
DFT formation energy, eV/f.u.: 4.8

Cell lengths 4.923, 4.923, 4.440 Å; angles 90.00, 90.00, 90.00 degrees
Space group P4/mmm (No. 123)
Unique sites:
Be  0.000  0.000  0.000 [1 per cell]
Tl  0.000  0.500  0.000 [2 per cell]
In  0.500  0.500  0.500 [1 per cell]
Re  0.000  0.000  0.500 [1 per cell]



[7]
The following is a PBE-GGA calculation of crystalline Be2InRh at its relaxed geometry, from Alexandria.

Properties
Theoretical density, g/cm3: 7.33
Electronic total energy, Ha/atom: -0.168
DFT formation energy, eV/f.u.: -0.7

Cell lengths 2.990, 3.037, 5.881 Å; angles 90.00, 90.00, 90.00 degrees
Space group Pmmm (No. 47)
Unique sites:
Be  0.000  0.000  0.184 [2 per cell]
In  0.500  0.500  0.500 [1 per cell]
Rh  0.500  0.500  0.000 [1 per cell]



[8]
The following is a PBE-GGA calculation of crystalline BeIn2Rh at its relaxed geometry, from Alexandria.

Properties
Theoretical density, g/cm3: 8.53
Electronic total energy, Ha/atom: -0.150
DFT formation energy, eV/f.u.: 0.2

Cell lengths 4.276, 4.276, 3.636 Å; angles 90.00, 90.00, 90.00 degrees
Space group P4/mmm (No. 123)
Unique sites:
Be  0.000  0.000  0.000 [1 per cell]
In  0.000  0.500  0.500 [2 per cell]
Rh  0.500  0.500  0.000 [1 per cell]



[9]
The following is a PBE-GGA calculation of crystalline Be2InRh at its relaxed geometry, from Alexandria.

Properties
Theoretical density, g/cm3: 6.84
Electronic total energy, Ha/atom: -0.156
DFT formation energy, eV/f.u.: 0.6

Cell lengths 2.9526, 2.9526, 22.7263 Å; angles 90.00, 90.00, 120.00 degrees
Space group R-3m (No. 166, hexagonal axes)
Unique sites:
Be  0.0000  0.0000  0.2365 [6 per cell]
In  0.0000  0.0000  0.0000 [3 per cell]
Rh  0.0000  0.0000  0.5000 [3 per cell]



[10]
The following is a PBE-GGA calculation of crystalline BeIn2Rh at its relaxed geometry, from Alexandria.

Properties
Theoretical density, g/cm3: 8.06
Electronic total energy, Ha/atom: -0.157
DFT formation energy, eV/f.u.: -0.6

Cell lengths 3.804, 3.806, 5.217 Å; angles 90.00, 111.22, 90.00 degrees
Space group Pm (No. 6)
Unique sites:
Be  0.000  0.000  0.000 [1 per cell]
In  0.284  0.000  0.566 [1 per cell]
In  0.585  0.500  0.172 [1 per cell]
Rh  0.875  0.500  0.752 [1 per cell]



[11]
The following is a PBE-GGA calculation of crystalline BeIn2Rh at its relaxed geometry, from Alexandria.

Properties
Theoretical density, g/cm3: 7.78
Electronic total energy, Ha/atom: -0.138
DFT formation energy, eV/f.u.: 1.5

Cell lengths 7.261, 7.261, 5.528 Å; angles 90.00, 90.00, 90.00 degrees
Space group I-42d (No. 122)
Unique sites:
Be  0.000  0.000  0.000 [4 per cell]
In  0.227  0.750  0.125 [8 per cell]
Rh  0.000  0.000  0.500 [4 per cell]



[12]
The following is a PBE-GGA calculation of crystalline BeIn2Rh at its relaxed geometry, from Alexandria.

Properties
Theoretical density, g/cm3: 8.21
Electronic total energy, Ha/atom: -0.146
DFT formation energy, eV/f.u.: 0.7

Cell lengths 8.880, 3.258, 4.889 Å; angles 90.00, 102.44, 90.00 degrees
Space group C2/m (No. 12)
Unique sites:
Be  0.000  0.000  0.000 [2 per cell]
In  0.249  0.000  0.751 [4 per cell]
Rh  0.000  0.500  0.500 [2 per cell]



[13]
The following is a PBE-GGA calculation of crystalline Be2InRh at its relaxed geometry, from Alexandria.

Properties
Theoretical density, g/cm3: 7.19
Electronic total energy, Ha/atom: -0.157
DFT formation energy, eV/f.u.: 0.4

Cell lengths 6.016, 6.016, 6.016 Å; angles 90.00, 90.00, 90.00 degrees
Space group F-43m (No. 216)
Unique sites:
Be  0.000  0.000  0.000 [4 per cell]
Be  0.250  0.250  0.250 [4 per cell]
In  0.000  0.000  0.500 [4 per cell]
Rh  0.250  0.250  0.750 [4 per cell]



[14]
The following is a PBE-GGA calculation of crystalline Be4InRh at its relaxed geometry, from Alexandria.

Properties
Theoretical density, g/cm3: 6.51
Electronic total energy, Ha/atom: -0.162
DFT formation energy, eV/f.u.: -1.4

Cell lengths 6.375, 6.375, 6.375 Å; angles 90.00, 90.00, 90.00 degrees
Space group F-43m (No. 216)
Unique sites:
Be  0.123  0.123  0.377 [16 per cell]
In  0.000  0.000  0.000 [4 per cell]
Rh  0.250  0.250  0.750 [4 per cell]



[15]
The following is a PBE-GGA calculation of crystalline BeIn2Rh at its relaxed geometry, from Alexandria.

Properties
Theoretical density, g/cm3: 8.41
Electronic total energy, Ha/atom: -0.143
DFT formation energy, eV/f.u.: 1.0

Cell lengths 6.462, 6.462, 6.462 Å; angles 90.00, 90.00, 90.00 degrees
Space group F-43m (No. 216)
Unique sites:
Be  0.000  0.000  0.000 [4 per cell]
In  0.000  0.000  0.500 [4 per cell]
In  0.250  0.250  0.250 [4 per cell]
Rh  0.250  0.250  0.750 [4 per cell]



[16]
The following is a PBE-GGA calculation of crystalline Be4InRh5 at its relaxed geometry, from Alexandria.

Properties
Theoretical density, g/cm3: 9.16
Electronic total energy, Ha/atom: -0.219
DFT formation energy, eV/f.u.: -5.2

Cell lengths 2.843, 2.843, 14.915 Å; angles 90.00, 90.00, 90.00 degrees
Space group P4/mmm (No. 123)
Unique sites:
Be  0.000  0.000  0.092 [2 per cell]
Be  0.000  0.000  0.276 [2 per cell]
In  0.000  0.000  0.500 [1 per cell]
Rh  0.500  0.500  0.000 [1 per cell]
Rh  0.500  0.500  0.184 [2 per cell]
Rh  0.500  0.500  0.368 [2 per cell]



[17]
The following is a PBE-GGA calculation of crystalline BeIn2Rh at its relaxed geometry, from Alexandria.

Properties
Theoretical density, g/cm3: 8.03
Electronic total energy, Ha/atom: -0.144
DFT formation energy, eV/f.u.: 0.8

Cell lengths 3.1578, 3.1578, 24.5460 Å; angles 90.00, 90.00, 120.00 degrees
Space group R-3m (No. 166, hexagonal axes)
Unique sites:
Be  0.0000  0.0000  0.0000 [3 per cell]
In  0.0000  0.0000  0.2517 [6 per cell]
Rh  0.0000  0.0000  0.5000 [3 per cell]



[18]
The following is a PBE-GGA calculation of crystalline BeIn3Rh4 at its relaxed geometry, from Alexandria.

Properties
Theoretical density, g/cm3: 10.25
Electronic total energy, Ha/atom: -0.205
DFT formation energy, eV/f.u.: -3.3

Cell lengths 3.077, 3.077, 13.096 Å; angles 90.00, 90.00, 90.00 degrees
Space group P4/mmm (No. 123)
Unique sites:
Be  0.000  0.000  0.000 [1 per cell]
In  0.000  0.000  0.233 [2 per cell]
In  0.000  0.000  0.500 [1 per cell]
Rh  0.500  0.500  0.101 [2 per cell]
Rh  0.500  0.500  0.365 [2 per cell]



[19]
The following is a PBE-GGA calculation of crystalline BeIn2Rh at its relaxed geometry, from Alexandria.

Properties
Theoretical density, g/cm3: 8.52
Electronic total energy, Ha/atom: -0.150
DFT formation energy, eV/f.u.: 0.2

Cell lengths 4.114, 4.114, 7.864 Å; angles 90.00, 90.00, 90.00 degrees
Space group I4/mmm (No. 139)
Unique sites:
Be  0.000  0.000  0.000 [2 per cell]
In  0.000  0.500  0.250 [4 per cell]
Rh  0.000  0.000  0.500 [2 per cell]



[20]
The following is a PBE-GGA calculation of crystalline Be2InRh at its relaxed geometry, from Alexandria.

Properties
Theoretical density, g/cm3: 7.35
Electronic total energy, Ha/atom: -0.166
DFT formation energy, eV/f.u.: -0.5

Cell lengths 2.984, 2.984, 5.976 Å; angles 90.00, 90.00, 90.00 degrees
Space group P4mm (No. 99)
Unique sites:
Be  0.000  0.000  0.000 [1 per cell]
Be  0.500  0.500  0.191 [1 per cell]
In  0.000  0.000  0.493 [1 per cell]
Rh  0.500  0.500  0.822 [1 per cell]